A relaxed structure of GaNi3Ir, computed with PBE-GGA.

Relative energy among the computed polymorphs, eV per atom: 0.081
Formation enthalpy at 0 K, kJ/mol of formula units: -44

a b c (Å): 8.307 6.458 6.458
angles (deg): 66.78 59.19 59.19
Element x y z (fractional)
Ni (0.414, 0.061, 0.358)
Ni (0.396, 0.709, 0.691)
Ni (0.058, 0.114, 0.742)
Ni (0.942, 0.886, 0.258)
Ir (0.187, 0.842, 0.454)
Ni (0.586, 0.939, 0.642)
Ni (0.104, 0.309, 0.291)
Ni (0.896, 0.691, 0.709)
Ga (0.250, 0.377, 0.623)
Ni (0.914, 0.358, 0.061)
Ir (0.313, 0.546, 0.158)
Ga (0.750, 0.623, 0.377)
Ni (0.086, 0.642, 0.939)
Ni (0.604, 0.291, 0.309)
Ni (0.558, 0.742, 0.114)
Ni (0.442, 0.258, 0.886)
Ir (0.813, 0.158, 0.546)
Ir (0.687, 0.454, 0.842)
Ga (0.250, 0.004, 0.996)
Ga (0.750, 0.996, 0.004)